Li2VZn | PBE | optimized geometry

Structure (CIF):
```
data_Li2VZn
_cell_length_a 10.037
_cell_length_b 10.037
_cell_length_c 10.037
_cell_angle_alpha 14.94
_cell_angle_beta 14.94
_cell_angle_gamma 14.94
_space_group_name_H-M_alt 'P 1'
_space_group_IT_number 1
loop_
_space_group_symop_operation_xyz
'x,y,z'
loop_
_atom_site_label
_atom_site_fract_x
_atom_site_fract_y
_atom_site_fract_z
Li1 0.087 0.087 0.087
Li2 0.913 0.913 0.913
V1 0.000 0.000 0.000
Zn1 0.500 0.500 0.500
```

***

LaPm6PrTm2 | PBE | optimized geometry

Structure (CIF):
```
data_LaPm6PrTm2
_cell_length_a 8.928
_cell_length_b 8.928
_cell_length_c 9.727
_cell_angle_alpha 93.67
_cell_angle_beta 93.67
_cell_angle_gamma 116.50
_space_group_name_H-M_alt 'P 1'
_space_group_IT_number 1
loop_
_space_group_symop_operation_xyz
'x,y,z'
loop_
_atom_site_label
_atom_site_fract_x
_atom_site_fract_y
_atom_site_fract_z
La1 0.094 0.906 0.750
La2 0.906 0.094 0.250
Pm1 0.017 0.796 0.381
Pm2 0.061 0.516 0.178
Pm3 0.204 0.983 0.119
Pm4 0.259 0.606 0.558
Pm5 0.394 0.741 0.942
Pm6 0.484 0.939 0.322
Pm7 0.516 0.061 0.678
Pm8 0.606 0.259 0.058
Pm9 0.741 0.394 0.442
Pm10 0.796 0.017 0.881
Pm11 0.939 0.484 0.822
Pm12 0.983 0.204 0.619
Pr1 0.464 0.536 0.250
Pr2 0.536 0.464 0.750
Tm1 0.205 0.302 0.949
Tm2 0.302 0.205 0.449
Tm3 0.698 0.795 0.551
Tm4 0.795 0.698 0.051
```

***

MnAl2In | PBE | optimized geometry

Structure (CIF):
```
data_MnAl2In
_cell_length_a 5.017
_cell_length_b 5.017
_cell_length_c 5.017
_cell_angle_alpha 133.63
_cell_angle_beta 133.63
_cell_angle_gamma 67.67
_space_group_name_H-M_alt 'P 1'
_space_group_IT_number 1
loop_
_space_group_symop_operation_xyz
'x,y,z'
loop_
_atom_site_label
_atom_site_fract_x
_atom_site_fract_y
_atom_site_fract_z
Mn1 0.000 0.000 0.000
Al1 0.250 0.750 0.500
Al2 0.500 0.500 0.000
In1 0.750 0.250 0.500
```

***

Tl2AsW | PBE | optimized geometry

Summary:
* polymorph energy (0 for the lowest one): 0.1078 eV per atom

Structure (CIF):
```
data_Tl2AsW
_cell_length_a 3.076
_cell_length_b 3.076
_cell_length_c 10.790
_cell_angle_alpha 90.00
_cell_angle_beta 90.00
_cell_angle_gamma 111.50
_space_group_name_H-M_alt 'P 1'
_space_group_IT_number 1
loop_
_space_group_symop_operation_xyz
'x,y,z'
loop_
_atom_site_label
_atom_site_fract_x
_atom_site_fract_y
_atom_site_fract_z
Tl1 0.000 0.000 0.000
Tl2 0.500 0.500 0.298
As1 0.500 0.500 0.701
W1 0.000 0.000 0.532
```

***

DyMgPa2Rh4 | PBE | optimized geometry

Structure (CIF):
```
data_DyMgPa2Rh4
_cell_length_a 8.922
_cell_length_b 8.922
_cell_length_c 8.922
_cell_angle_alpha 30.09
_cell_angle_beta 30.09
_cell_angle_gamma 30.09
_space_group_name_H-M_alt 'P 1'
_space_group_IT_number 1
loop_
_space_group_symop_operation_xyz
'x,y,z'
loop_
_atom_site_label
_atom_site_fract_x
_atom_site_fract_y
_atom_site_fract_z
Dy1 0.000 0.000 0.000
Mg1 0.500 0.500 0.500
Pa1 0.245 0.245 0.245
Pa2 0.755 0.755 0.755
Rh1 0.125 0.125 0.125
Rh2 0.393 0.393 0.393
Rh3 0.607 0.607 0.607
Rh4 0.875 0.875 0.875
```

***

Cr2AsAu | PBE | optimized geometry

Structure (CIF):
```
data_Cr2AsAu
_cell_length_a 3.722
_cell_length_b 3.722
_cell_length_c 6.452
_cell_angle_alpha 107.11
_cell_angle_beta 107.11
_cell_angle_gamma 60.55
_space_group_name_H-M_alt 'P 1'
_space_group_IT_number 1
loop_
_space_group_symop_operation_xyz
'x,y,z'
loop_
_atom_site_label
_atom_site_fract_x
_atom_site_fract_y
_atom_site_fract_z
Cr1 0.239 0.239 0.217
Cr2 0.761 0.761 0.783
As1 0.500 0.500 0.000
Au1 0.000 0.000 0.500
```

***

Sc2TlAs | PBE | optimized geometry

Summary:
* polymorph energy (0 for the lowest one): 0.3677 eV per atom

Structure (CIF):
```
data_Sc2TlAs
_cell_length_a 4.963
_cell_length_b 4.963
_cell_length_c 4.963
_cell_angle_alpha 60.00
_cell_angle_beta 60.00
_cell_angle_gamma 60.00
_space_group_name_H-M_alt 'P 1'
_space_group_IT_number 1
loop_
_space_group_symop_operation_xyz
'x,y,z'
loop_
_atom_site_label
_atom_site_fract_x
_atom_site_fract_y
_atom_site_fract_z
Sc1 0.250 0.250 0.250
Sc2 0.750 0.750 0.750
Tl1 0.000 0.000 0.000
As1 0.500 0.500 0.500
```

***

Sm7Ho3Er2 | PBE | optimized geometry

Summary:
* polymorph energy (0 for the lowest one): 0.0000 eV per atom

Structure (CIF):
```
data_Sm7Ho3Er2
_cell_length_a 6.389
_cell_length_b 3.540
_cell_length_c 17.464
_cell_angle_alpha 90.00
_cell_angle_beta 95.97
_cell_angle_gamma 90.00
_space_group_name_H-M_alt 'P 1'
_space_group_IT_number 1
loop_
_space_group_symop_operation_xyz
'x,y,z'
loop_
_atom_site_label
_atom_site_fract_x
_atom_site_fract_y
_atom_site_fract_z
Sm1 0.000 0.000 0.000
Sm2 0.224 0.500 0.171
Sm3 0.257 0.500 0.496
Sm4 0.275 0.000 0.833
Sm5 0.725 0.000 0.167
Sm6 0.743 0.500 0.504
Sm7 0.776 0.500 0.829
Ho1 0.452 0.000 0.341
Ho2 0.500 0.500 0.000
Ho3 0.548 0.000 0.659
Er1 0.059 0.500 0.671
Er2 0.941 0.500 0.329
```

***

no.,E_form (eV per atom),DFT total energy (eV/atom)
1,0.234,-3.321
2,0.113,-4.603
3,0.088,-4.760
4,0.445,-5.139
5,-0.704,-7.528
6,0.214,-6.580
7,-0.430,-5.350
8,0.074,-4.584